Record 1
{"formula": "InRu2Au", "functional": "PBE", "state": "optimized geometry", "final_energy_ev_per_cell": -23.31, "formation_energy_kcal_per_mol_atoms": 7.227, "magnetic_moment_mub_per_fu": 0.758, "lattice_angstrom": [[4.842, -0.001, -0.005], [3.956, 2.793, -0.005], [1.013, 0.322, 4.926]], "species": ["Ru", "Ru", "In", "Au"], "fractional_positions": [[0.998, 0.998, 0.977], [0.502, 0.502, 0.523], [0.250, 0.250, 0.250], [0.750, 0.750, 0.750]]}

---

Record 2
{"formula": "InRu2Au", "functional": "PBE", "state": "optimized geometry", "final_energy_ev_per_cell": -23.07, "formation_energy_kcal_per_mol_atoms": 8.646, "magnetic_moment_mub_per_fu": 1.593, "lattice_angstrom": [[-1.371, -2.188, -1.562], [-0.393, -2.562, 3.935], [-4.173, 1.989, 0.878]], "species": ["Ru", "Ru", "In", "Au"], "fractional_positions": [[0.500, 0.500, 0.000], [0.000, 0.000, 0.000], [0.000, 0.500, 0.500], [0.500, 0.000, 0.500]]}

---

Record 3
{"formula": "In2RuAu", "functional": "PBE", "state": "optimized geometry", "final_energy_ev_per_cell": -17.57, "formation_energy_kcal_per_mol_atoms": 2.664, "magnetic_moment_mub_per_fu": 0.000, "lattice_angstrom": [[3.668, 0.010, 0.000], [-0.010, 3.668, 0.000], [0.000, 0.000, 5.737]], "species": ["Au", "In", "In", "Ru"], "fractional_positions": [[0.500, 0.500, 0.768], [0.000, 0.000, 0.973], [0.500, 0.500, 0.288], [0.000, 0.000, 0.471]]}

---

Record 4
{"formula": "InRuAu", "functional": "PBE", "state": "optimized geometry", "final_energy_ev_per_cell": -14.62, "de_polymorph_kj_per_mol_atoms": 0.0, "formation_energy_kcal_per_mol_atoms": 5.192, "magnetic_moment_mub_per_fu": 0.395, "lattice_angstrom": [[-3.685, -0.432, 4.450], [-3.229, -3.371, 3.432], [1.776, -0.598, 2.523]], "species": ["Au", "Ru", "In"], "fractional_positions": [[0.995, 0.995, 0.005], [0.330, 0.330, 0.670], [0.675, 0.675, 0.325]]}

---

Record 5
{"formula": "In2RuAu", "functional": "PBE", "state": "optimized geometry", "final_energy_ev_per_cell": -18.00, "formation_energy_kcal_per_mol_atoms": 0.194, "magnetic_moment_mub_per_fu": 0.000, "lattice_angstrom": [[-3.087, 1.443, 3.369], [-2.847, -2.653, -2.797], [0.711, -2.645, 1.785]], "species": ["Au", "In", "In", "Ru"], "fractional_positions": [[0.000, 0.500, 0.500], [0.500, 0.500, 0.000], [0.000, 0.000, 0.000], [0.500, 0.000, 0.500]]}

---

Record 6
{"formula": "InRu2Au", "functional": "PBE", "state": "optimized geometry", "final_energy_ev_per_cell": -23.67, "formation_energy_kcal_per_mol_atoms": 5.188, "magnetic_moment_mub_per_fu": 0.000, "lattice_angstrom": [[4.859, -0.004, -0.001], [3.959, 2.816, -0.001], [0.845, 0.269, 4.812]], "species": ["Ru", "Ru", "Au", "In"], "fractional_positions": [[0.007, 0.007, 0.968], [0.743, 0.743, 0.779], [0.497, 0.497, 0.496], [0.254, 0.254, 0.257]]}

---

Record 7
{"formula": "InRu2Au", "functional": "PBE", "state": "optimized geometry", "final_energy_ev_per_cell": -23.85, "formation_energy_kcal_per_mol_atoms": 4.164, "magnetic_moment_mub_per_fu": 0.000, "lattice_angstrom": [[-1.610, 2.200, 0.991], [-1.905, -2.376, 2.180], [4.051, 0.917, 4.541]], "species": ["Au", "In", "Ru", "Ru"], "fractional_positions": [[0.000, 0.000, 0.489], [0.500, 0.500, 0.760], [0.500, 0.500, 0.218], [0.000, 0.000, 0.033]]}

---

Record 8
{"formula": "In2RuAu2", "functional": "PBE", "state": "optimized geometry", "final_energy_ev_per_cell": -18.42, "formation_energy_kcal_per_mol_atoms": 13.328, "magnetic_moment_mub_per_fu": 2.049, "lattice_angstrom": [[6.174, -2.894, -1.280], [6.146, 1.036, 3.048], [-6.756, -1.191, 1.038]], "species": ["Ru", "Au", "Au", "In", "In"], "fractional_positions": [[0.000, 0.000, 0.000], [0.397, 0.397, 0.000], [0.603, 0.603, 0.000], [0.750, 0.250, 0.500], [0.250, 0.750, 0.500]]}

---

Record 9
{"formula": "InRu2Au", "functional": "PBE", "state": "optimized geometry", "final_energy_ev_per_cell": -23.32, "formation_energy_kcal_per_mol_atoms": 7.180, "magnetic_moment_mub_per_fu": 0.002, "lattice_angstrom": [[-3.588, -2.534, -3.337], [-2.933, -4.254, 1.930], [1.311, 5.350, 0.307]], "species": ["Ru", "Ru", "In", "Au"], "fractional_positions": [[0.012, 0.012, 0.000], [0.234, 0.734, 0.500], [0.758, 0.258, 0.500], [0.496, 0.496, 0.000]]}

---

Record 10
{"formula": "InRuAu", "functional": "PBE", "state": "optimized geometry", "final_energy_ev_per_cell": -14.42, "de_polymorph_kj_per_mol_atoms": 6.4, "formation_energy_kcal_per_mol_atoms": 6.730, "magnetic_moment_mub_per_fu": 0.800, "lattice_angstrom": [[-0.404, 2.468, -3.812], [-1.745, -4.208, 0.187], [-2.573, 1.111, 0.992]], "species": ["Au", "In", "Ru"], "fractional_positions": [[0.000, 0.000, 0.065], [0.667, 0.333, 0.289], [0.333, 0.667, 0.647]]}

---

Record 11
{"formula": "In4RuAu", "functional": "PBE", "state": "optimized geometry", "final_energy_ev_per_cell": -19.61, "formation_energy_kcal_per_mol_atoms": 14.992, "magnetic_moment_mub_per_fu": 0.076, "lattice_angstrom": [[0.000, 4.049, 4.049], [4.049, 0.000, 4.049], [4.049, 4.049, 0.000]], "species": ["In", "In", "In", "In", "Au", "Ru"], "fractional_positions": [[0.375, 0.375, 0.375], [0.375, 0.375, 0.874], [0.375, 0.874, 0.375], [0.874, 0.375, 0.375], [0.000, 0.000, 0.000], [0.750, 0.750, 0.750]]}

---

Record 12
{"formula": "In2Ru2Au", "functional": "PBE", "state": "optimized geometry", "final_energy_ev_per_cell": -53.51, "formation_energy_kcal_per_mol_atoms": 2.546, "magnetic_moment_mub_per_fu": 0.000, "lattice_angstrom": [[-3.050, -1.729, 5.905], [5.764, -3.109, 2.067], [1.236, 3.373, 1.626]], "species": ["Au", "Au", "Ru", "Ru", "Ru", "Ru", "In", "In", "In", "In"], "fractional_positions": [[0.000, 0.000, 0.000], [0.500, 0.500, 0.000], [0.628, 0.128, 0.000], [0.372, 0.872, 0.000], [0.872, 0.628, 0.000], [0.128, 0.372, 0.000], [0.327, 0.173, 0.500], [0.827, 0.327, 0.500], [0.173, 0.673, 0.500], [0.673, 0.827, 0.500]]}

---

Record 13
{"formula": "InRu2Au", "functional": "PBE", "state": "optimized geometry", "final_energy_ev_per_cell": -23.46, "formation_energy_kcal_per_mol_atoms": 6.376, "magnetic_moment_mub_per_fu": 0.000, "lattice_angstrom": [[9.376, -0.018, -0.011], [8.934, 2.845, -0.011], [8.934, 1.379, 2.488]], "species": ["In", "Ru", "Ru", "Au"], "fractional_positions": [[0.745, 0.745, 0.745], [0.256, 0.256, 0.256], [0.995, 0.995, 0.995], [0.504, 0.504, 0.504]]}

---

Record 14
{"formula": "In2RuAu", "functional": "PBE", "state": "optimized geometry", "final_energy_ev_per_cell": -16.90, "formation_energy_kcal_per_mol_atoms": 6.538, "magnetic_moment_mub_per_fu": 0.667, "lattice_angstrom": [[9.242, -0.022, -0.013], [8.703, 3.110, -0.013], [8.703, 1.498, 2.725]], "species": ["Au", "In", "In", "Ru"], "fractional_positions": [[0.754, 0.754, 0.754], [0.241, 0.241, 0.241], [0.005, 0.005, 0.005], [0.499, 0.499, 0.499]]}

---

Record 15
{"formula": "In3RuAu", "functional": "PBE", "state": "optimized geometry", "final_energy_ev_per_cell": -19.69, "de_polymorph_kj_per_mol_atoms": 0.0, "formation_energy_kcal_per_mol_atoms": 4.958, "magnetic_moment_mub_per_fu": 0.000, "lattice_angstrom": [[-4.651, 0.403, -2.102], [1.590, -2.717, -4.038], [-1.433, -4.321, 2.343]], "species": ["Ru", "Au", "In", "In", "In"], "fractional_positions": [[0.000, 0.000, 0.000], [0.500, 0.500, 0.500], [0.500, 0.000, 0.000], [0.000, 0.500, 0.000], [0.000, 0.000, 0.500]]}

---

Record 16
{"formula": "InRu2Au", "functional": "PBE", "state": "optimized geometry", "final_energy_ev_per_cell": -43.14, "formation_energy_kcal_per_mol_atoms": 17.284, "magnetic_moment_mub_per_fu": 0.000, "lattice_angstrom": [[7.442, 0.000, 0.000], [0.000, 7.442, 0.000], [3.721, 3.721, 2.631]], "species": ["Au", "Au", "Ru", "Ru", "Ru", "Ru", "In", "In"], "fractional_positions": [[0.750, 0.250, 0.500], [0.000, 0.000, 0.000], [0.627, 0.125, 0.250], [0.123, 0.625, 0.250], [0.375, 0.373, 0.750], [0.875, 0.877, 0.750], [0.500, 0.500, 0.000], [0.250, 0.750, 0.500]]}

---

Record 17
{"formula": "In2RuAu", "functional": "PBE", "state": "optimized geometry", "final_energy_ev_per_cell": -17.51, "formation_energy_kcal_per_mol_atoms": 2.985, "magnetic_moment_mub_per_fu": 0.378, "lattice_angstrom": [[-0.495, 4.895, -7.565], [0.148, 2.041, -8.789], [-2.843, 2.827, -8.085]], "species": ["Ru", "Au", "In", "In"], "fractional_positions": [[0.250, 0.250, 0.250], [0.750, 0.750, 0.750], [0.505, 0.505, 0.505], [0.995, 0.995, 0.995]]}

---

Record 18
{"formula": "In2RuAu", "functional": "PBE", "state": "optimized geometry", "final_energy_ev_per_cell": -33.58, "formation_energy_kcal_per_mol_atoms": 7.140, "magnetic_moment_mub_per_fu": 0.000, "lattice_angstrom": [[7.429, 0.000, 0.000], [0.000, 7.429, 0.000], [3.714, 3.714, 2.966]], "species": ["Ru", "Ru", "In", "In", "In", "In", "Au", "Au"], "fractional_positions": [[0.250, 0.750, 0.500], [0.500, 0.500, 0.000], [0.133, 0.625, 0.250], [0.875, 0.867, 0.750], [0.617, 0.125, 0.250], [0.375, 0.383, 0.750], [0.000, 0.000, 0.000], [0.750, 0.250, 0.500]]}

---

Record 19
{"formula": "InRu2Au", "functional": "PBE", "state": "optimized geometry", "final_energy_ev_per_cell": -23.03, "formation_energy_kcal_per_mol_atoms": 8.854, "magnetic_moment_mub_per_fu": 0.789, "lattice_angstrom": [[4.551, 0.000, 0.000], [2.275, 3.941, 0.000], [2.275, 1.314, 3.715]], "species": ["In", "Au", "Ru", "Ru"], "fractional_positions": [[0.750, 0.750, 0.750], [0.500, 0.500, 0.500], [0.250, 0.250, 0.250], [0.000, 0.000, 0.000]]}

---

Record 20
{"formula": "InRu2Au", "functional": "PBE", "state": "optimized geometry", "final_energy_ev_per_cell": -23.20, "formation_energy_kcal_per_mol_atoms": 7.893, "magnetic_moment_mub_per_fu": 2.207, "lattice_angstrom": [[-0.321, 4.577, -1.742], [-3.991, 2.070, 1.968], [3.747, -2.366, 2.108]], "species": ["Ru", "Ru", "In", "Au"], "fractional_positions": [[0.500, 0.500, 0.000], [0.000, 0.000, 0.000], [0.750, 0.250, 0.500], [0.250, 0.750, 0.500]]}

---

Record 21
{"formula": "InRuAu", "functional": "PBE", "state": "optimized geometry", "final_energy_ev_per_cell": -14.16, "de_polymorph_kj_per_mol_atoms": 14.7, "formation_energy_kcal_per_mol_atoms": 8.709, "magnetic_moment_mub_per_fu": 0.003, "lattice_angstrom": [[-3.387, 2.855, 0.339], [-2.726, 0.632, -3.450], [-4.174, -1.514, 0.160]], "species": ["Au", "Ru", "In"], "fractional_positions": [[0.000, 0.000, 0.000], [0.250, 0.250, 0.250], [0.500, 0.500, 0.500]]}

---

Record 22
{"formula": "In2RuAu", "functional": "PBE", "state": "optimized geometry", "final_energy_ev_per_cell": -16.80, "formation_energy_kcal_per_mol_atoms": 7.107, "magnetic_moment_mub_per_fu": 0.000, "lattice_angstrom": [[-1.012, 4.495, -1.062], [-2.963, 2.467, 2.738], [1.652, 3.500, 2.716]], "species": ["In", "In", "Au", "Ru"], "fractional_positions": [[0.250, 0.250, 0.250], [0.000, 0.000, 0.000], [0.500, 0.500, 0.500], [0.750, 0.750, 0.750]]}

---

Record 23
{"formula": "InRu2Au", "functional": "PBE", "state": "optimized geometry", "final_energy_ev_per_cell": -23.36, "formation_energy_kcal_per_mol_atoms": 6.984, "magnetic_moment_mub_per_fu": 0.000, "lattice_angstrom": [[-1.000, -2.484, 1.853], [2.191, -2.865, -2.660], [3.659, 0.430, 2.551]], "species": ["Au", "In", "Ru", "Ru"], "fractional_positions": [[0.500, 0.500, 0.000], [0.500, 0.000, 0.500], [0.000, 0.500, 0.500], [0.000, 0.000, 0.000]]}

---

Record 24
{"formula": "InRuAu4", "functional": "PBE", "state": "optimized geometry", "final_energy_ev_per_cell": -22.61, "formation_energy_kcal_per_mol_atoms": 9.670, "magnetic_moment_mub_per_fu": 1.621, "lattice_angstrom": [[0.000, 3.872, 3.872], [3.872, 0.000, 3.872], [3.872, 3.872, 0.000]], "species": ["Ru", "Au", "Au", "Au", "Au", "In"], "fractional_positions": [[0.000, 0.000, 0.000], [0.375, 0.375, 0.375], [0.876, 0.375, 0.375], [0.375, 0.375, 0.876], [0.375, 0.876, 0.375], [0.750, 0.750, 0.750]]}

---

Record 25
{"formula": "InRu2Au", "functional": "PBE", "state": "optimized geometry", "final_energy_ev_per_cell": -23.52, "formation_energy_kcal_per_mol_atoms": 6.056, "magnetic_moment_mub_per_fu": 0.000, "lattice_angstrom": [[4.916, -0.014, 0.000], [1.607, 4.646, 0.000], [-3.261, -2.316, 2.858]], "species": ["Ru", "Ru", "Au", "In"], "fractional_positions": [[0.000, 0.000, 0.000], [0.250, 0.750, 0.500], [0.500, 0.500, 0.000], [0.750, 0.250, 0.500]]}

---

Record 26
{"formula": "In2RuAu", "functional": "PBE", "state": "optimized geometry", "final_energy_ev_per_cell": -17.98, "formation_energy_kcal_per_mol_atoms": 0.268, "magnetic_moment_mub_per_fu": 0.000, "lattice_angstrom": [[5.372, -0.010, 0.016], [4.339, 3.168, 0.016], [1.378, 0.448, 4.401]], "species": ["Ru", "Au", "In", "In"], "fractional_positions": [[0.498, 0.498, 0.569], [0.242, 0.242, 0.198], [0.765, 0.765, 0.679], [0.995, 0.995, 0.054]]}

---

Record 27
{"formula": "In2RuAu", "functional": "PBE", "state": "optimized geometry", "final_energy_ev_per_cell": -17.88, "formation_energy_kcal_per_mol_atoms": 0.866, "magnetic_moment_mub_per_fu": 0.000, "lattice_angstrom": [[4.374, 0.000, 0.000], [0.000, 4.374, 0.000], [0.000, 0.000, 3.823]], "species": ["In", "In", "Ru", "Au"], "fractional_positions": [[0.000, 0.000, 0.000], [0.500, 0.500, 0.000], [0.500, 0.000, 0.500], [0.000, 0.500, 0.500]]}

---

Record 28
{"formula": "In2RuAu", "functional": "PBE", "state": "optimized geometry", "final_energy_ev_per_cell": -18.03, "formation_energy_kcal_per_mol_atoms": 0.009, "magnetic_moment_mub_per_fu": 0.000, "lattice_angstrom": [[-0.025, 1.052, 3.287], [2.715, -2.002, 0.662], [6.538, 2.692, -0.812]], "species": ["In", "In", "Ru", "Au"], "fractional_positions": [[0.000, 0.514, 0.486], [0.000, 0.986, 0.014], [0.500, 0.250, 0.250], [0.500, 0.750, 0.750]]}

---

Record 29
{"formula": "InRuAu3", "functional": "PBE", "state": "optimized geometry", "final_energy_ev_per_cell": -17.83, "de_polymorph_kj_per_mol_atoms": 0.0, "formation_energy_kcal_per_mol_atoms": 18.519, "magnetic_moment_mub_per_fu": 2.243, "lattice_angstrom": [[-0.911, -4.991, 0.481], [2.998, -0.150, 4.118], [-4.019, 1.019, 2.963]], "species": ["Au", "Au", "Au", "In", "Ru"], "fractional_positions": [[0.500, 0.000, 0.000], [0.000, 0.000, 0.500], [0.000, 0.500, 0.000], [0.500, 0.500, 0.500], [0.000, 0.000, 0.000]]}